Density functional theory data (PBE) for a geometry-optimized ZnSiRu2 structure.

Summary:
Total DFT energy (no corrections)   -52.021 eV/cell
Spin magnetization   0.0 μB/f.u.
Calculated volume   13.9 A^3/atom
ρ   8.83 Mg/m³

Cell lengths 8.1506, 2.8728, 4.9086 Å; angles 90.00, 104.78, 90.00 degrees
Space group C2/m (No. 12)
Symmetry-distinct sites (fractional):
Zn  0.0000  0.0000  0.0000 [2 per cell]
Si  0.0000  0.5000  0.5000 [2 per cell]
Ru  0.2302  0.0000  0.7257 [4 per cell]

Density functional theory data (PBE) for a geometry-optimized ZnSiRu2 structure.

Summary:
Total DFT energy (no corrections)   -94.516 eV/cell
Spin magnetization   1.4 μB/f.u.
Calculated volume   15.4 A^3/atom
ρ   7.96 Mg/m³

Cell lengths 3.7780, 3.7780, 17.2931 Å; angles 90.00, 90.00, 90.00 degrees
Space group I-42d (No. 122)
Symmetry-distinct sites (fractional):
Zn  0.0000  0.0000  0.0000 [4 per cell]
Si  0.0000  0.0000  0.5000 [4 per cell]
Ru  0.2206  0.2500  0.6250 [8 per cell]

Density functional theory data (PBE) for a geometry-optimized ZnSiRu2 structure.

Summary:
Total DFT energy (no corrections)   -51.695 eV/cell
Spin magnetization   0.0 μB/f.u.
Calculated volume   13.7 A^3/atom
ρ   8.97 Mg/m³

Cell lengths 2.9283, 4.0852, 9.1450 Å; angles 90.00, 90.00, 90.00 degrees
Space group Imm2 (No. 44)
Symmetry-distinct sites (fractional):
Zn  0.0000  0.0000  0.0000 [2 per cell]
Si  0.0000  0.5000  0.7507 [2 per cell]
Ru  0.0000  0.0000  0.4633 [2 per cell]
Ru  0.0000  0.5000  0.2184 [2 per cell]

Density functional theory data (PBE) for a geometry-optimized Zn2SiRu structure.

Summary:
Total DFT energy (no corrections)   -67.983 eV/cell
Spin magnetization   0.0 μB/f.u.
Calculated volume   13.7 A^3/atom
ρ   7.87 Mg/m³

Cell lengths 6.0327, 6.0327, 6.0327 Å; angles 90.00, 90.00, 90.00 degrees
Space group F-43m (No. 216)
Symmetry-distinct sites (fractional):
Zn  0.0000  0.0000  0.0000 [4 per cell]
Zn  0.2500  0.2500  0.2500 [4 per cell]
Si  0.2500  0.2500  0.7500 [4 per cell]
Ru  0.0000  0.0000  0.5000 [4 per cell]

Density functional theory data (PBE) for a geometry-optimized ZnSiRu structure.

Summary:
Total DFT energy (no corrections)   -68.482 eV/cell
Spin magnetization   0.0 μB/f.u.
Calculated volume   13.3 A^3/atom
ρ   8.09 Mg/m³

Cell lengths 4.6516, 7.9948, 4.7565 Å; angles 90.00, 115.47, 90.00 degrees
Space group C2/c (No. 15)
Symmetry-distinct sites (fractional):
Zn  0.0000  0.0390  0.2500 [4 per cell]
Si  0.0000  0.2950  0.7500 [4 per cell]
Ru  0.0000  0.3714  0.2500 [4 per cell]

Density functional theory data (PBE) for a geometry-optimized Zn2SiRu structure.

Summary:
Total DFT energy (no corrections)   -34.222 eV/cell
Spin magnetization   0.0 μB/f.u.
Calculated volume   14.3 A^3/atom
ρ   7.54 Mg/m³

Cell lengths 4.8593, 8.3421, 2.9214 Å; angles 90.00, 104.70, 90.00 degrees
Space group C2/m (No. 12)
Symmetry-distinct sites (fractional):
Zn  0.2500  0.2500  0.0000 [4 per cell]
Si  0.0000  0.0000  0.5000 [2 per cell]
Ru  0.0000  0.5000  0.5000 [2 per cell]

Density functional theory data (PBE) for a geometry-optimized Zn2SiRu structure.

Summary:
Total DFT energy (no corrections)   -34.554 eV/cell
Spin magnetization   0.0 μB/f.u.
Calculated volume   14.2 A^3/atom
ρ   7.59 Mg/m³

Cell lengths 4.9272, 7.5456, 3.0594 Å; angles 90.00, 90.00, 90.00 degrees
Space group Cmmm (No. 65)
Symmetry-distinct sites (fractional):
Zn  0.2500  0.2500  0.0000 [4 per cell]
Si  0.0000  0.0000  0.5000 [2 per cell]
Ru  0.0000  0.5000  0.5000 [2 per cell]

Density functional theory data (PBE) for a geometry-optimized ZnSiRu structure.

Summary:
Total DFT energy (no corrections)   -65.402 eV/cell
Spin magnetization   0.0 μB/f.u.
Calculated volume   15.1 A^3/atom
ρ   7.15 Mg/m³

Cell lengths 5.6542, 5.6542, 5.6542 Å; angles 90.00, 90.00, 90.00 degrees
Space group F-43m (No. 216)
Symmetry-distinct sites (fractional):
Zn  0.0000  0.0000  0.0000 [4 per cell]
Si  0.2500  0.2500  0.7500 [4 per cell]
Ru  0.0000  0.0000  0.5000 [4 per cell]